# PBE-GGA Zr6ScCo3, relaxed
# calculated total energy = -8.02 eV/atom
# calculated formation energy = -0.12 eV/atom
# calculated density = 6432 kg/m³
data_Zr6ScCo3
_chemical_formula_sum 'Zr24 Sc4 Co12'
_cell_length_a 10.344
_cell_length_b 11.818
_cell_length_c 6.498
_cell_angle_alpha 90.00
_cell_angle_beta 90.00
_cell_angle_gamma 90.00
_symmetry_space_group_name_H-M 'C m c 21'
_symmetry_Int_Tables_number 36
_symmetry_space_group_name_Hall 'C 2c -2'
loop_
_atom_site_label
_atom_site_type_symbol
_atom_site_fract_x
_atom_site_fract_y
_atom_site_fract_z
_atom_site_occupancy
Zr1 Zr 0.000 0.029 0.000 1
Zr2 Zr 0.000 0.233 0.347 1
Zr3 Zr 0.167 0.458 0.493 1
Zr4 Zr 0.230 0.190 0.643 1
Sc1 Sc 0.000 0.320 0.861 1
Co1 Co 0.000 0.427 0.193 1
Co2 Co 0.186 0.099 0.278 1

# PBE-GGA ZrSc4Co, relaxed
# E above lowest polymorph = 2 meV/atom
# calculated total energy = -6.94 eV/atom
# calculated formation energy = -0.11 eV/atom
# calculated density = 4268 kg/m³
data_ZrSc4Co
_chemical_formula_sum 'Zr1 Sc4 Co1'
_cell_length_a 3.185
_cell_length_b 3.185
_cell_length_c 12.654
_cell_angle_alpha 90.00
_cell_angle_beta 90.00
_cell_angle_gamma 90.00
_symmetry_space_group_name_H-M 'P 4/m m m'
_symmetry_Int_Tables_number 123
_symmetry_space_group_name_Hall '-P 4 2'
loop_
_atom_site_label
_atom_site_type_symbol
_atom_site_fract_x
_atom_site_fract_y
_atom_site_fract_z
_atom_site_occupancy
Zr1 Zr 0.000 0.000 0.000 1
Sc1 Sc 0.000 0.000 0.381 1
Sc2 Sc 0.500 0.500 0.176 1
Co1 Co 0.500 0.500 0.500 1

# PBE-GGA Zr2Sc2Co, relaxed
# E above lowest polymorph = 692 meV/atom
# calculated total energy = -6.74 eV/atom
# calculated formation energy = 0.63 eV/atom
# calculated density = 4708 kg/m³
data_Zr2Sc2Co
_chemical_formula_sum 'Zr4 Sc4 Co2'
_cell_length_a 3.731
_cell_length_b 3.731
_cell_length_c 16.786
_cell_angle_alpha 90.00
_cell_angle_beta 90.00
_cell_angle_gamma 90.00
_symmetry_space_group_name_H-M 'I 4/m m m'
_symmetry_Int_Tables_number 139
_symmetry_space_group_name_Hall '-I 4 2'
loop_
_atom_site_label
_atom_site_type_symbol
_atom_site_fract_x
_atom_site_fract_y
_atom_site_fract_z
_atom_site_occupancy
Zr1 Zr 0.000 0.500 0.250 1
Sc1 Sc 0.000 0.000 0.084 1
Co1 Co 0.000 0.000 0.500 1

# PBE-GGA Zr2ScCo2, relaxed
# E above lowest polymorph = 0 meV/atom
# calculated total energy = -7.78 eV/atom
# calculated formation energy = -0.25 eV/atom
# calculated density = 6535 kg/m³
data_Zr2ScCo2
_chemical_formula_sum 'Zr4 Sc2 Co4'
_cell_length_a 7.219
_cell_length_b 7.219
_cell_length_c 3.367
_cell_angle_alpha 90.00
_cell_angle_beta 90.00
_cell_angle_gamma 90.00
_symmetry_space_group_name_H-M 'P 4/m b m'
_symmetry_Int_Tables_number 127
_symmetry_space_group_name_Hall '-P 4 2ab'
loop_
_atom_site_label
_atom_site_type_symbol
_atom_site_fract_x
_atom_site_fract_y
_atom_site_fract_z
_atom_site_occupancy
Zr1 Zr 0.164 0.336 0.000 1
Sc1 Sc 0.000 0.000 0.500 1
Co1 Co 0.129 0.629 0.500 1

# PBE-GGA Zr3ScCo8, relaxed
# calculated total energy = -7.72 eV/atom
# calculated formation energy = -0.32 eV/atom
# calculated density = 7951 kg/m³
data_Zr3ScCo8
_chemical_formula_sum 'Zr9 Sc3 Co24'
_cell_length_a 4.8862
_cell_length_b 4.8862
_cell_length_c 23.9412
_cell_angle_alpha 90.00
_cell_angle_beta 90.00
_cell_angle_gamma 120.00
_symmetry_space_group_name_H-M 'R 3 m'
_symmetry_Int_Tables_number 160
_symmetry_space_group_name_Hall 'R 3 -2"'
loop_
_atom_site_label
_atom_site_type_symbol
_atom_site_fract_x
_atom_site_fract_y
_atom_site_fract_z
_atom_site_occupancy
Zr1 Zr 0.0000 0.0000 0.0000 1
Zr2 Zr 0.0000 0.0000 0.1258 1
Zr3 Zr 0.0000 0.0000 0.6224 1
Sc1 Sc 0.0000 0.0000 0.4982 1
Co1 Co 0.0000 0.0000 0.3117 1
Co2 Co 0.0000 0.0000 0.8119 1
Co3 Co 0.0000 0.5000 0.0614 1
Co4 Co 0.0016 0.5008 0.5617 1

# PBE-GGA ZrScCo, relaxed
# E above lowest polymorph = 173 meV/atom
# calculated total energy = -7.41 eV/atom
# calculated formation energy = -0.08 eV/atom
# calculated density = 5420 kg/m³
data_ZrScCo
_chemical_formula_sum 'Zr4 Sc4 Co4'
_cell_length_a 6.207
_cell_length_b 6.207
_cell_length_c 6.207
_cell_angle_alpha 90.00
_cell_angle_beta 90.00
_cell_angle_gamma 90.00
_symmetry_space_group_name_H-M 'F -4 3 m'
_symmetry_Int_Tables_number 216
_symmetry_space_group_name_Hall 'F -4 2 3'
loop_
_atom_site_label
_atom_site_type_symbol
_atom_site_fract_x
_atom_site_fract_y
_atom_site_fract_z
_atom_site_occupancy
Zr1 Zr 0.000 0.000 0.000 1
Sc1 Sc 0.000 0.000 0.500 1
Co1 Co 0.250 0.250 0.750 1

Question: The highest calculated total energy belongs to which entry?
Answer: Zr2Sc2Co

Question: Which value of calculated formation energy does entry 6 give?
Answer: -0.08 eV/atom